VASP calculation (PBE with a Hubbard U) on Li3NiP2O8 after structural relaxation.

a = 4.9519 Å, b = 18.0178 Å, c = 7.8531 Å
α = 90.00°, β = 126.80°, γ = 90.00°
Space group P2_1/c (No. 14)
Unique sites:
Li 0.0180 0.0565 0.2349
Li 0.2694 0.1170 0.9982
Li 0.3919 0.7025 0.7027
Ni 0.1811 0.6274 0.9797
P 0.1031 0.2152 0.2868
P 0.4795 0.5330 0.7651
O 0.0155 0.1726 0.0900
O 0.1557 0.2000 0.7696
O 0.1731 0.5615 0.7553
O 0.1810 0.7001 0.1882
O 0.1856 0.0655 0.5423
O 0.4207 0.5562 0.5539
O 0.4461 0.1885 0.4906
O 0.4741 0.0532 0.2747

Output
excess energy over the best structure of this formula in the dataset: 4 meV per atom

---

VASP calculation (PBE with a Hubbard U) on LiNiPO4 after structural relaxation.

a = 4.9797 Å, b = 4.9797 Å, c = 23.2577 Å
α = 90.00°, β = 90.00°, γ = 120.00°
Space group R-3 (No. 148, hexagonal axes)
Unique sites:
Li 0.0000 0.0000 0.1457
Ni 0.0000 0.0000 0.2727
P 0.0000 0.0000 0.4205
O 0.0000 0.0000 0.3544
O 0.0231 0.3858 0.1089

Output
excess energy over the best structure of this formula in the dataset: 84 meV per atom

---

VASP calculation (PBE with a Hubbard U) on LiNiPO4 after structural relaxation.

a = 8.6321 Å, b = 5.0108 Å, c = 15.8731 Å
α = 90.00°, β = 98.24°, γ = 90.00°
Space group C2/c (No. 15)
Unique sites:
Li 0.2366 0.2377 0.1950
Ni 0.1463 0.2457 0.4115
P 0.0608 0.2777 0.6230
O 0.0425 0.4256 0.1472
O 0.0959 0.1320 0.8743
O 0.1194 0.2564 0.5347
O 0.2027 0.1581 0.6842

Output
excess energy over the best structure of this formula in the dataset: 30 meV per atom

---

VASP calculation (PBE with a Hubbard U) on Li3Ni2P5O16 after structural relaxation.

a = 5.0183 Å, b = 6.8910 Å, c = 18.1668 Å
α = 90.00°, β = 92.29°, γ = 90.00°
Space group P2/c (No. 13)
Unique sites:
Li 0.0000 0.0159 0.2500
Li 0.2380 0.3217 0.9666
Ni 0.2342 0.1759 0.4098
P 0.2382 0.4659 0.1242
P 0.2734 0.1252 0.5854
P 0.5000 0.2436 0.2500
O 0.0585 0.4479 0.3925
O 0.1148 0.0210 0.1291
O 0.1206 0.2050 0.5169
O 0.3035 0.3866 0.2058
O 0.3064 0.3132 0.6418
O 0.3236 0.1315 0.2997
O 0.4185 0.3746 0.0689
O 0.4366 0.0774 0.9292

Output
calculated total energy: -6.604 eV/atom

---

VASP calculation (PBE with a Hubbard U) on LiNiPO4 after structural relaxation.

a = 11.4482 Å, b = 5.9044 Å, c = 4.9193 Å
α = 90.00°, β = 90.00°, γ = 90.00°
Space group Pna2_1 (No. 33)
Unique sites:
Li 0.0583 0.2069 0.0000
Ni 0.1656 0.4408 0.5013
P 0.0926 0.7260 0.9880
O 0.0341 0.2334 0.5937
O 0.0911 0.7044 0.6740
O 0.1455 0.5035 0.1063
O 0.1646 0.9393 0.0698

Output
excess energy over the best structure of this formula in the dataset: 68 meV per atom

---

VASP calculation (PBE with a Hubbard U) on LiNiP5O15 after structural relaxation.

a = 5.1316 Å, b = 9.3269 Å, c = 13.2836 Å
α = 90.00°, β = 111.01°, γ = 90.00°
Space group Pc (No. 7)
Unique sites:
Li 0.0000 0.1959 0.0000
Ni 0.0394 0.4928 0.5982
P 0.0322 0.4960 0.8444
P 0.4135 0.0114 0.4322
P 0.4520 0.3187 0.5088
P 0.5086 0.0382 0.2257
P 0.6142 0.3289 0.1807
O 0.0052 0.4120 0.9370
O 0.0969 0.4235 0.7554
O 0.1539 0.0798 0.9025
O 0.2381 0.0348 0.1307
O 0.2589 0.3762 0.3919
O 0.3001 0.3330 0.1470
O 0.3584 0.3748 0.5962
O 0.3792 0.1503 0.4959
O 0.4477 0.0900 0.3304
O 0.6632 0.1027 0.7423
O 0.6697 0.0739 0.9931
O 0.7100 0.1657 0.2175
O 0.7408 0.3711 0.0991
O 0.7455 0.4128 0.2924
O 0.7556 0.3374 0.5244

Output
calculated total energy: -6.658 eV/atom